VASP calculation (GGA-PBE) on a relaxed CoSbCl2 crystal.

Computed properties:
**SG**: No. 69
**Formation energy without anion corrections**: 0.174 eV/atom

abc: 5.431 5.184 4.503
angles: 67.77 62.09 50.14
Atoms (fractional coordinates):
Co 0.000 0.000 0.000
Sb 0.500 0.500 0.500
Cl 0.000 0.500 0.500
Cl 0.500 0.000 0.000

VASP calculation (GGA-PBE) on a relaxed Zr2TcOs crystal.

Computed properties:
**SG**: No. 65
**ΔE_f**: -0.084 eV per atom

abc: 2.973 2.973 8.687
angles: 90.00 90.00 111.76
Atoms (fractional coordinates):
Zr 0.000 0.000 0.250
Zr 0.000 0.000 0.750
Tc 0.500 0.500 0.000
Os 0.500 0.500 0.500